The following is a PBE calculation of a relaxed Ac6La5Pr crystal, from Alexandria via LeMat-Bulk.

## Properties
V: 976.8 Å³/cell
N(E_F): 22.652 states/eV/f.u.
DFT formation energy: 0.018 eV per atom

CIF file:
```
data_Ac6La5Pr
_chemical_formula_sum 'Ac12 La10 Pr2'
_symmetry_space_group_name_H-M 'C 1 2/m 1'
_symmetry_Int_Tables_number 12
_cell_length_a 17.324
_cell_length_b 10.813
_cell_length_c 5.495
_cell_angle_alpha 90.00
_cell_angle_beta 108.40
_cell_angle_gamma 90.00
loop_
_symmetry_equiv_pos_as_xyz
'x,y,z'
'-x,-y,-z'
'-x,y,-z'
'x,-y,z'
'x+1/2,y+1/2,z'
'-x+1/2,-y+1/2,-z'
'-x+1/2,y+1/2,-z'
'x+1/2,-y+1/2,z'
loop_
_atom_site_label
_atom_site_type_symbol
_atom_site_fract_x
_atom_site_fract_y
_atom_site_fract_z
Ac1 Ac 0.000 0.250 0.000
Ac2 Ac 0.167 0.250 0.667
La1 La 0.000 0.000 0.500
La2 La 0.166 0.000 0.166
La3 La 0.167 0.500 0.167
Pr1 Pr 0.000 0.500 0.500
```